1.
{
  "formula": "Ba2LiOs",
  "functional": "GGA-PBE",
  "state": "relaxed",
  "dos_at_fermi_per_ev_cell": 7.231,
  "final_energy_ev_per_fu": -14.2,
  "cell": [[8.495, 0.000, 0.000], [0.000, 3.628, 0.000], [-1.077, 0.000, 9.523]],
  "species": ["Ba", "Ba", "Ba", "Ba", "Li", "Li", "Os", "Os"],
  "frac_coords": [[0.229, 0.000, 0.190], [0.271, 0.500, 0.810], [0.729, 0.500, 0.190], [0.771, 0.000, 0.810], [0.000, 0.000, 0.500], [0.500, 0.500, 0.500], [0.000, 0.500, 0.000], [0.500, 0.000, 0.000]]
}


2.
{
  "formula": "Y7Tl2Hg2",
  "functional": "GGA-PBE",
  "state": "relaxed",
  "dos_at_fermi_per_ev_cell": 12.279,
  "final_energy_ev_per_fu": -51.5,
  "cell": [[4.004, -5.642, 0.000], [4.004, 5.642, 0.000], [0.000, 0.000, 7.655]],
  "species": ["Y", "Y", "Y", "Y", "Y", "Y", "Y", "Tl", "Tl", "Hg", "Hg"],
  "frac_coords": [[0.000, 0.000, 0.000], [0.000, 0.500, 0.280], [0.000, 0.500, 0.720], [0.500, 0.000, 0.280], [0.500, 0.000, 0.720], [0.500, 0.500, 0.253], [0.500, 0.500, 0.747], [0.184, 0.184, 0.500], [0.816, 0.816, 0.500], [0.288, 0.712, 0.000], [0.712, 0.288, 0.000]]
}


3.
{
  "formula": "Er2MgSb",
  "functional": "GGA-PBE",
  "state": "relaxed",
  "dos_at_fermi_per_ev_cell": 3.375,
  "final_energy_ev_per_fu": -16.9,
  "cell": [[3.946, 0.000, 0.000], [0.000, 3.946, 0.000], [0.000, 0.000, 6.669]],
  "species": ["Er", "Er", "Mg", "Sb"],
  "frac_coords": [[0.000, 0.000, 0.243], [0.000, 0.000, 0.757], [0.500, 0.500, 0.500], [0.500, 0.500, 0.000]]
}


4.
{
  "formula": "KBa2MgH6",
  "functional": "GGA-PBE",
  "state": "relaxed",
  "dos_at_fermi_per_ev_cell": 2.685,
  "final_energy_ev_per_fu": -29.4,
  "cell": [[-3.069, 3.081, 4.348], [3.069, -3.081, 4.348], [3.069, 3.081, -4.348]],
  "species": ["K", "Ba", "Ba", "Mg", "H", "H", "H", "H", "H", "H"],
  "frac_coords": [[0.000, 0.000, 0.000], [0.251, 0.751, 0.500], [0.749, 0.249, 0.500], [0.500, 0.500, 0.000], [0.276, 0.276, 0.000], [0.277, 0.276, 0.553], [0.277, 0.724, 0.002], [0.723, 0.276, 0.998], [0.723, 0.724, 0.447], [0.724, 0.724, 0.000]]
}


5.
{
  "formula": "CaPRu",
  "functional": "GGA-PBE",
  "state": "relaxed",
  "dos_at_fermi_per_ev_cell": 4.826,
  "final_energy_ev_per_fu": -19.2,
  "cell": [[4.067, 0.000, 0.000], [0.000, 4.067, 0.000], [0.000, 0.000, 6.963]],
  "species": ["Ca", "Ca", "P", "P", "Ru", "Ru"],
  "frac_coords": [[0.250, 0.250, 0.169], [0.750, 0.750, 0.831], [0.250, 0.250, 0.677], [0.750, 0.750, 0.323], [0.250, 0.750, 0.500], [0.750, 0.250, 0.500]]
}


6.
{
  "formula": "BaMgTe2N",
  "functional": "GGA-PBE",
  "state": "relaxed",
  "dos_at_fermi_per_ev_cell": 5.759,
  "final_energy_ev_per_fu": -14.3,
  "cell": [[6.551, 0.000, 0.000], [0.000, 6.551, 0.000], [0.000, 0.000, 4.396]],
  "species": ["Ba", "Mg", "Te", "Te", "N"],
  "frac_coords": [[0.000, 0.000, 0.000], [0.500, 0.500, 0.500], [0.000, 0.500, 0.000], [0.500, 0.000, 0.000], [0.000, 0.000, 0.500]]
}


7.
{
  "formula": "TbNdAgRu",
  "functional": "GGA-PBE",
  "state": "relaxed",
  "dos_at_fermi_per_ev_cell": 2.442,
  "final_energy_ev_per_fu": -22.8,
  "cell": [[3.478, 0.000, 0.000], [0.000, 3.478, 0.000], [0.000, 0.000, 7.663]],
  "species": ["Tb", "Nd", "Ag", "Ru"],
  "frac_coords": [[0.000, 0.000, 0.000], [0.000, 0.000, 0.446], [0.500, 0.500, 0.738], [0.500, 0.500, 0.214]]
}


8.
{
  "formula": "Na2Ge3Cl8",
  "functional": "GGA-PBE",
  "state": "relaxed",
  "dos_at_fermi_per_ev_cell": 0.000,
  "final_energy_ev_per_fu": -45.4,
  "cell": [[7.101, -3.940, 0.000], [7.101, 3.940, 0.000], [-2.084, 0.000, 6.403]],
  "species": ["Na", "Na", "Ge", "Ge", "Ge", "Cl", "Cl", "Cl", "Cl", "Cl", "Cl", "Cl", "Cl"],
  "frac_coords": [[0.234, 0.234, 0.150], [0.766, 0.766, 0.850], [0.239, 0.761, 0.500], [0.500, 0.500, 0.000], [0.761, 0.239, 0.500], [0.109, 0.109, 0.422], [0.149, 0.617, 0.101], [0.383, 0.851, 0.899], [0.385, 0.385, 0.595], [0.615, 0.615, 0.405], [0.617, 0.149, 0.101], [0.851, 0.383, 0.899], [0.891, 0.891, 0.578]]
}


9.
{
  "formula": "AcDy7Er12",
  "functional": "GGA-PBE",
  "state": "relaxed",
  "dos_at_fermi_per_ev_cell": 37.215,
  "final_energy_ev_per_fu": -86.3,
  "cell": [[5.987, 3.456, 5.256], [-5.987, 3.456, 5.256], [0.000, -6.913, 5.256]],
  "species": ["Ac", "Dy", "Dy", "Dy", "Dy", "Dy", "Dy", "Dy", "Er", "Er", "Er", "Er", "Er", "Er", "Er", "Er", "Er", "Er", "Er", "Er"],
  "frac_coords": [[0.000, 0.000, 0.000], [0.062, 0.394, 0.156], [0.156, 0.062, 0.394], [0.394, 0.156, 0.062], [0.500, 0.500, 0.500], [0.606, 0.844, 0.938], [0.844, 0.938, 0.606], [0.938, 0.606, 0.844], [0.134, 0.623, 0.496], [0.150, 0.276, 0.725], [0.275, 0.850, 0.724], [0.276, 0.725, 0.150], [0.377, 0.504, 0.866], [0.496, 0.134, 0.623], [0.504, 0.866, 0.377], [0.623, 0.496, 0.134], [0.724, 0.275, 0.850], [0.725, 0.150, 0.276], [0.850, 0.724, 0.275], [0.866, 0.377, 0.504]]
}


10.
{
  "formula": "Pr2Sm3Tl4",
  "functional": "GGA-PBE",
  "state": "relaxed",
  "dos_at_fermi_per_ev_cell": 14.484,
  "final_energy_ev_per_fu": -35.4,
  "cell": [[3.678, -8.300, 0.000], [3.678, 8.300, 0.000], [0.000, 0.000, 9.419]],
  "species": ["Pr", "Pr", "Pr", "Pr", "Sm", "Sm", "Sm", "Sm", "Sm", "Sm", "Tl", "Tl", "Tl", "Tl", "Tl", "Tl", "Tl", "Tl"],
  "frac_coords": [[0.108, 0.892, 0.927], [0.392, 0.608, 0.427], [0.608, 0.392, 0.573], [0.892, 0.108, 0.073], [0.000, 0.000, 0.500], [0.033, 0.467, 0.750], [0.467, 0.033, 0.250], [0.500, 0.500, 0.000], [0.533, 0.967, 0.750], [0.967, 0.533, 0.250], [0.187, 0.813, 0.536], [0.222, 0.278, 0.750], [0.278, 0.222, 0.250], [0.313, 0.687, 0.036], [0.687, 0.313, 0.964], [0.722, 0.778, 0.750], [0.778, 0.722, 0.250], [0.813, 0.187, 0.464]]
}


11.
{
  "formula": "Li4HI5",
  "functional": "GGA-PBE",
  "state": "relaxed",
  "dos_at_fermi_per_ev_cell": 0.000,
  "final_energy_ev_per_fu": -28.1,
  "cell": [[3.965, -2.299, 0.000], [3.965, 2.299, 0.000], [-1.083, 0.000, 18.010]],
  "species": ["Li", "Li", "Li", "Li", "H", "I", "I", "I", "I", "I"],
  "frac_coords": [[0.000, 0.000, 0.000], [0.067, 0.067, 0.408], [0.365, 0.365, 0.204], [0.642, 0.642, 0.797], [0.837, 0.837, 0.524], [0.023, 0.023, 0.569], [0.025, 0.025, 0.160], [0.301, 0.301, 0.748], [0.393, 0.393, 0.363], [0.660, 0.660, 0.956]]
}


12.
{
  "formula": "BeRe2Si",
  "functional": "GGA-PBE",
  "state": "relaxed",
  "dos_at_fermi_per_ev_cell": 13.849,
  "final_energy_ev_per_fu": -33.4,
  "cell": [[5.947, 0.000, 0.000], [0.000, 5.947, 0.000], [0.000, 0.000, 5.947]],
  "species": ["Be", "Be", "Be", "Be", "Re", "Re", "Re", "Re", "Re", "Re", "Re", "Re", "Si", "Si", "Si", "Si"],
  "frac_coords": [[0.000, 0.000, 0.000], [0.000, 0.500, 0.500], [0.500, 0.000, 0.500], [0.500, 0.500, 0.000], [0.000, 0.000, 0.500], [0.000, 0.500, 0.000], [0.250, 0.250, 0.750], [0.250, 0.750, 0.250], [0.500, 0.000, 0.000], [0.500, 0.500, 0.500], [0.750, 0.250, 0.250], [0.750, 0.750, 0.750], [0.250, 0.250, 0.250], [0.250, 0.750, 0.750], [0.750, 0.250, 0.750], [0.750, 0.750, 0.250]]
}